# ErCrTeO6

Crystalline ErCrTeO6 at its relaxed geometry (PBE+U, Alexandria via LeMat-Bulk).

Results
calculated volume	216.7	Å³ per cell
symmetry	P-31c (163)
VASP energy	-123.1	eV/cell

```
ErCrTeO6
1.0
5.383 0.000 0.000
-2.691 4.661 0.000
0.000 0.000 8.637
Er Cr Te O
2 2 2 12
Direct
0.333 0.667 0.250 Er
0.667 0.333 0.750 Er
0.000 0.000 0.000 Cr
0.000 0.000 0.500 Cr
0.333 0.667 0.750 Te
0.667 0.333 0.250 Te
0.039 0.353 0.876 O
0.039 0.686 0.624 O
0.314 0.353 0.624 O
0.314 0.961 0.876 O
0.353 0.039 0.376 O
0.353 0.314 0.124 O
0.647 0.686 0.876 O
0.647 0.961 0.624 O
0.686 0.039 0.124 O
0.686 0.647 0.376 O
0.961 0.314 0.376 O
0.961 0.647 0.124 O
```